Entry from Alexandria: PrMg2Au after structural relaxation (PBE-GGA).

abc: 3.395 3.395 10.702
angles: 80.87 80.87 60.00
Sites, in units of the cell vectors:
Pr1 0.000 0.000 0.000
Mg1 0.895 0.895 0.314
Au1 0.500 0.500 0.500
Mg2 0.105 0.105 0.686

Output
The density is 6.11 g cm⁻³. The crystal system is trigonal. Its energy relative to the elements is -36 meV per atom. For the size of the total moment, the calculation gives 0.000 μB per atom.